Pm2ErTlO | the Alexandria database | PBE | relaxed; space-group type = No. 123; formation energy without anion corrections = -1349 meV/atom; N(E_F) = 2.2 states/eV/cell
1.0
-3.8762 1.8968 -1.8526
-2.7641 -2.2572 3.4722
0.5120 3.9563 2.9794
O Pm Er Tl
1 2 1 1
direct
0.0000 0.0000 0.0000 O
0.0000 0.0000 0.5000 Pm
0.0000 0.5000 0.0000 Pm
0.5000 0.0000 0.0000 Er
0.5000 0.5000 0.5000 Tl

PmErUO6 | the Alexandria database | PBE | relaxed; space-group type = No. 163; formation energy without anion corrections = -3353 meV/atom; N(E_F) = 0.0 states/eV/cell
1.0
-4.9278 -0.8046 2.9050
0.0146 -0.1969 -5.7733
1.7453 -9.5029 0.3285
O Er U Pm
12 2 2 2
direct
0.3597 0.0199 0.1369 O
0.0199 0.6602 0.8631 O
0.6403 0.9801 0.8631 O
0.9801 0.3398 0.1369 O
0.0199 0.3597 0.6369 O
0.3597 0.3398 0.3631 O
0.6602 0.6403 0.1369 O
0.3398 0.3597 0.8631 O
0.6403 0.6602 0.6369 O
0.9801 0.6403 0.3631 O
0.6602 0.0199 0.3631 O
0.3398 0.9801 0.6369 O
0.3333 0.6667 0.2500 Er
0.6667 0.3333 0.7500 Er
0.6667 0.3333 0.2500 U
0.3333 0.6667 0.7500 U
0.0000 0.0000 0.0000 Pm
0.0000 0.0000 0.5000 Pm

What is the formula in the first record?
Pm2ErTlO